No. 1
VASP calculation (SCAN) on a crystal of Tl2IBr relaxed with PBEsol.

Values from the calculation:
ΔE to the lowest computed polymorph   0.00 eV/f.u.
E   -815.7 eV per cell
Formation energy (no corrections)   -291 kJ/mol of formula units

Geometry as CIF:
```
data_Tl2IBr
_chemical_formula_sum 'Tl8 I4 Br4'
_space_group_name_H-M_alt 'F m -3 m'
_space_group_IT_number 225
_space_group_name_Hall '-F 4 2 3'
_cell_length_a 8.038
_cell_length_b 8.038
_cell_length_c 8.038
_cell_angle_alpha 90.00
_cell_angle_beta 90.00
_cell_angle_gamma 90.00
loop_
_atom_site_label
_atom_site_fract_x
_atom_site_fract_y
_atom_site_fract_z
_atom_site_occupancy
Tl1 0.250 0.250 0.250 1
I1 0.000 0.000 0.000 1
Br1 0.000 0.000 0.500 1
```

---

No. 2
VASP calculation (SCAN) on a crystal of CuSbPd2Br relaxed with PBEsol.

Values from the calculation:
E   -135.0 eV per cell
Formation energy (no corrections)   234 kJ/mol of formula units

Geometry as CIF:
```
data_CuSbPd2Br
_chemical_formula_sum 'Cu1 Sb1 Pd2 Br1'
_space_group_name_H-M_alt 'P 4/m m m'
_space_group_IT_number 123
_space_group_name_Hall '-P 4 2'
_cell_length_a 4.985
_cell_length_b 4.985
_cell_length_c 4.727
_cell_angle_alpha 90.00
_cell_angle_beta 90.00
_cell_angle_gamma 90.00
loop_
_atom_site_label
_atom_site_fract_x
_atom_site_fract_y
_atom_site_fract_z
_atom_site_occupancy
Cu1 0.000 0.000 0.000 1
Sb1 0.000 0.000 0.500 1
Pd1 0.000 0.500 0.500 1
Br1 0.500 0.500 0.000 1
```

---

No. 3
VASP calculation (SCAN) on a crystal of SrLi2HS relaxed with PBEsol.

Values from the calculation:
E   -42.6 eV per cell

Geometry as CIF:
```
data_SrLi2HS
_chemical_formula_sum 'Sr1 Li2 H1 S1'
_space_group_name_H-M_alt 'P 4/m m m'
_space_group_IT_number 123
_space_group_name_Hall '-P 4 2'
_cell_length_a 4.239
_cell_length_b 4.239
_cell_length_c 6.864
_cell_angle_alpha 90.00
_cell_angle_beta 90.00
_cell_angle_gamma 90.00
loop_
_atom_site_label
_atom_site_fract_x
_atom_site_fract_y
_atom_site_fract_z
_atom_site_occupancy
Sr1 0.000 0.000 0.000 1
Li1 0.000 0.500 0.500 1
H1 0.500 0.500 0.000 1
S1 0.500 0.500 0.500 1
```

---

What is the E in the first record?
-815.7 eV per cell

---

What is the E in the second record?
-135.0 eV per cell

---

The highest E belongs to which entry?
SrLi2HS

---

The lowest E belongs to which entry?
Tl2IBr